{"formula": "CuHg2HRh", "functional": "meta-GGA SCAN", "state": "PBEsol geometry", "final_energy_ha_per_atom": -1.37770, "lattice_angstrom": [[3.3763, 0.0000, 0.0000], [0.0000, 4.5339, 0.0000], [0.0000, 0.0000, 4.5339]], "species": ["H", "Cu", "Rh", "Hg", "Hg"], "fractional_positions": [[0.0000, 0.0000, 0.0000], [0.5000, 0.5000, 0.5000], [0.5000, 0.0000, 0.0000], [0.0000, 0.0000, 0.5000], [0.0000, 0.5000, 0.0000]]}

---

{"formula": "Cs2As3", "functional": "meta-GGA SCAN", "state": "PBEsol geometry", "delta_e_f_mev_per_atom": -565, "lattice_angstrom": [[7.0581, -0.0422, 0.0000], [-0.5251, 7.0387, 0.0000], [-3.2665, -3.4982, 7.7981]], "species": ["Cs", "Cs", "Cs", "Cs", "As", "As", "As", "As", "As", "As"], "fractional_positions": [[0.7500, 0.2500, 0.5000], [0.2500, 0.7500, 0.5000], [0.7318, 0.2682, 0.0000], [0.2682, 0.7318, 0.0000], [0.1542, 0.1542, 0.3084], [0.8458, 0.8458, 0.6916], [0.7071, 0.7071, 0.8467], [0.2929, 0.2929, 0.1533], [0.8604, 0.8604, 0.1533], [0.1396, 0.1396, 0.8467]]}